[1]
4
Lattice="4.465 0.000 0.000 0.000 4.465 0.000 0.000 0.000 3.007" Properties=species:S:1:pos:R:3 comment="LiOsCl2 (PBE-GGA, relaxed)" sg="No. 123" total_energy_ev_per_atom=-3.968 pbc="T T T"
Li 2.233 0.000 1.504
Cl 2.233 2.233 0.000
Cl 0.000 0.000 0.000
Os 0.000 2.233 1.504

[2]
4
Lattice="7.955 -0.082 -0.049 7.282 3.204 -0.049 7.282 1.492 2.836" Properties=species:S:1:pos:R:3 comment="LiOsCl2 (PBE-GGA, relaxed)" sg="No. 160" total_energy_ev_per_atom=-4.149 pbc="T T T"
Cl 17.303 3.545 2.104
Cl 22.161 4.541 2.695
Li 10.884 2.230 1.324
Os 5.949 1.219 0.723

[3]
4
Lattice="-2.468 2.599 -1.121 -2.137 -1.187 1.952 2.689 4.061 3.496" Properties=species:S:1:pos:R:3 comment="LiOsCl2 (PBE-GGA, relaxed)" sg="No. 10" total_energy_ev_per_atom=-4.212 pbc="T T T"
Os -0.820 3.455 3.526
Cl -0.076 1.248 3.059
Cl 0.904 3.063 5.113
Li -1.096 2.018 0.802

[4]
4
Lattice="3.014 0.002 0.000 -1.536 2.593 0.000 0.000 0.000 9.363" Properties=species:S:1:pos:R:3 comment="LiOsCl2 (PBE-GGA, relaxed)" sg="No. 35" total_energy_ev_per_atom=-4.050 pbc="T T T"
Cl 0.000 0.000 8.858
Cl 0.739 1.298 2.930
Os 0.739 1.298 7.045
Li 0.000 0.000 4.575

[5]
4
Lattice="-0.193 2.742 1.272 -7.018 -1.115 1.340 0.878 -1.496 3.358" Properties=species:S:1:pos:R:3 comment="LiOsCl2 (PBE-GGA, relaxed)" sg="No. 47" total_energy_ev_per_atom=-4.011 pbc="T T T"
Cl -3.605 0.813 1.306
Cl 0.000 0.000 0.000
Li 0.343 0.623 2.315
Os -3.070 -1.305 2.349

[6]
6
Lattice="0.000 3.553 3.553 3.553 0.000 3.553 3.553 3.553 0.000" Properties=species:S:1:pos:R:3 comment="Li4OsCl (PBE-GGA, relaxed)" sg="No. 216" total_energy_ev_per_atom=-2.966 pbc="T T T"
Li 2.691 4.415 4.415
Li 2.691 2.691 2.691
Li 4.415 2.691 4.415
Li 4.415 4.415 2.691
Cl 0.000 0.000 0.000
Os 5.330 5.330 5.330

[7]
4
Lattice="-7.583 -1.435 -1.743 -7.859 0.873 0.267 -7.292 1.473 -2.693" Properties=species:S:1:pos:R:3 comment="LiOsCl2 (PBE-GGA, relaxed)" sg="No. 166" total_energy_ev_per_atom=-4.478 pbc="T T T"
Cl -20.474 0.820 -3.754
Cl -2.261 0.091 -0.415
Os 0.000 0.000 0.000
Li -11.367 0.456 -2.085

[8]
11
Lattice="6.031 -0.482 -0.379 -0.563 7.147 0.909 -0.849 -1.277 7.062" Properties=species:S:1:pos:R:3 comment="Li2OsCl8 (PBE-GGA, relaxed)" sg="No. 12" total_energy_ev_per_atom=-3.514 pbc="T T T"
Cl 0.723 0.408 6.619
Cl 3.702 -0.757 5.163
Cl 3.123 3.076 4.357
Cl 0.918 6.145 2.429
Cl -0.573 4.551 6.204
Cl 1.497 2.312 3.235
Cl 5.193 0.837 1.388
Cl 3.897 4.980 0.973
Os 0.000 0.000 0.000
Li 1.844 4.397 6.106
Li 2.777 0.991 1.486

[9]
5
Lattice="4.619 0.000 0.000 0.000 4.619 0.000 0.000 0.000 4.619" Properties=species:S:1:pos:R:3 comment="LiOsCl3 (PBE-GGA, relaxed)" sg="No. 221" total_energy_ev_per_atom=-3.297 pbc="T T T"
Cl 0.000 0.000 2.310
Cl 2.310 0.000 0.000
Cl 0.000 2.310 0.000
Li 0.000 0.000 0.000
Os 2.310 2.310 2.310

[10]
5
Lattice="4.856 0.000 0.000 0.000 4.856 0.000 0.000 0.000 4.856" Properties=species:S:1:pos:R:3 comment="LiOsCl3 (PBE-GGA, relaxed)" sg="No. 221" total_energy_ev_per_atom=-3.907 pbc="T T T"
Cl 0.000 2.428 0.000
Cl 2.428 0.000 0.000
Cl 0.000 0.000 2.428
Li 2.428 2.428 2.428
Os 0.000 0.000 0.000

[11]
8
Lattice="-1.531 6.569 -0.028 -3.834 -4.267 3.548 5.966 -0.239 3.119" Properties=species:S:1:pos:R:3 comment="LiOsCl6 (PBE-GGA, relaxed)" sg="No. 12" total_energy_ev_per_atom=-3.769 pbc="T T T"
Cl 0.147 -0.014 5.407
Cl 0.454 2.078 1.233
Cl -0.197 -0.985 2.243
Cl 0.798 3.048 4.396
Cl 2.537 0.527 3.230
Cl -1.937 1.537 3.410
Li 0.000 0.000 0.000
Os 0.300 1.032 3.320

[12]
8
Lattice="5.291 0.000 0.000 0.000 5.291 0.000 2.646 2.646 5.665" Properties=species:S:1:pos:R:3 comment="LiOsCl2 (PBE-GGA, relaxed)" sg="No. 122" total_energy_ev_per_atom=-4.047 pbc="T T T"
Cl 3.987 1.323 1.416
Cl 1.304 3.968 1.416
Cl 6.614 6.633 4.249
Cl 3.968 3.949 4.249
Os 5.291 2.646 2.833
Os 0.000 0.000 0.000
Li 2.646 2.646 0.000
Li 2.646 5.291 2.833

Values for total moment, μB/f.u., ordered as above
0.000, 0.887, 0.000, 0.785, 1.476, 1.004, 0.602, 2.001, 4.269, 1.315, 3.016, 0.000
Values for formation energy (no corrections), meV/atom, ordered as above
241.1, 59.9, -2.9, 158.9, 198.2, 489.4, -268.6, -802.5, 440.2, -170.6, -740.7, 162.0